[1]
Density functional theory data (PBE-GGA) for crystalline AcPm3Cu2 at its relaxed geometry.

Cell: 3.633 3.633 12.763 Å, 90.00 90.00 90.00°
Space group P4/mmm (No. 123)
Symmetry-distinct sites (fractional):
Ac (0.000, 0.000, 0.000) [1 per cell]
Pm (0.500, 0.500, 0.228) [2 per cell]
Pm (0.500, 0.500, 0.500) [1 per cell]
Cu (0.000, 0.000, 0.362) [2 per cell]

## Properties
Energy of formation ... -0.487 eV/f.u.
D(E_F) ... 5.92 states/eV/f.u.
Volume ... 168 Å³/cell

***

[2]
Density functional theory data (PBE-GGA) for crystalline AcPm4Cu5 at its relaxed geometry.

Cell: 3.604 3.604 18.144 Å, 90.00 90.00 90.00°
Space group P4/mmm (No. 123)
Symmetry-distinct sites (fractional):
Ac (0.000, 0.000, 0.000) [1 per cell]
Pm (0.000, 0.000, 0.206) [2 per cell]
Pm (0.000, 0.000, 0.402) [2 per cell]
Cu (0.500, 0.500, 0.114) [2 per cell]
Cu (0.500, 0.500, 0.304) [2 per cell]
Cu (0.500, 0.500, 0.500) [1 per cell]

## Properties
Energy of formation ... -1.413 eV/f.u.
D(E_F) ... 7.16 states/eV/f.u.
Volume ... 236 Å³/cell

***

[3]
Density functional theory data (PBE-GGA) for crystalline AcPmCu2 at its relaxed geometry.

Cell: 4.0996 4.0996 22.9503 Å, 90.00 90.00 120.00°
Space group R-3m (No. 166, hexagonal axes)
Symmetry-distinct sites (fractional):
Ac (0.0000, 0.0000, 0.0000) [3 per cell]
Pm (0.0000, 0.0000, 0.5000) [3 per cell]
Cu (0.0000, 0.0000, 0.2443) [6 per cell]

## Properties
Energy above the most stable polymorph in this dataset ... 194 meV/atom
Energy of formation ... 0.176 eV/f.u.
D(E_F) ... 3.75 states/eV/f.u.
Volume ... 334 Å³/cell

***

[4]
Density functional theory data (PBE-GGA) for crystalline Ac2PmCu at its relaxed geometry.

Cell: 3.834 3.834 9.180 Å, 90.00 90.00 90.00°
Space group P4/mmm (No. 123)
Symmetry-distinct sites (fractional):
Ac (0.000, 0.000, 0.203) [2 per cell]
Pm (0.500, 0.500, 0.500) [1 per cell]
Cu (0.500, 0.500, 0.000) [1 per cell]

## Properties
Energy above the most stable polymorph in this dataset ... 0 meV/atom
Energy of formation ... -0.059 eV/f.u.
D(E_F) ... 5.45 states/eV/f.u.
Volume ... 135 Å³/cell